# 1
# Cs2NpUSe6

Crystalline Cs2NpUSe6 at its relaxed geometry (GGA-PBE, Alexandria).

Lattice parameters (Å, degrees): 7.779 10.999 7.778 90.00 90.00 90.00
Positions (direct):
Cs: 0.250 0.000 0.250
Cs: 0.250 0.500 0.250
Cs: 0.750 0.000 0.750
Cs: 0.750 0.500 0.750
Np: 0.250 0.250 0.750
Np: 0.750 0.750 0.250
U: 0.250 0.750 0.750
U: 0.750 0.250 0.250
Se: 0.002 0.750 0.503
Se: 0.003 0.750 0.998
Se: 0.250 0.503 0.750
Se: 0.250 0.997 0.750
Se: 0.497 0.750 0.998
Se: 0.498 0.750 0.503
Se: 0.502 0.250 0.497
Se: 0.503 0.250 0.002
Se: 0.750 0.003 0.250
Se: 0.750 0.497 0.250
Se: 0.997 0.250 0.002
Se: 0.998 0.250 0.497

Calculated values
The space group is Pmmn, No. 59. The value obtained for the total magnetization is 3.0 μB/f.u. The calculation puts the total energy at -5.837 eV per atom. The energy relative to the elements, uncorrected is -1.1530 eV per atom.

=====

# 2
# CaHoEr2As4

Crystalline CaHoEr2As4 at its relaxed geometry (GGA-PBE, Alexandria).

Lattice parameters (Å, degrees): 7.153 4.107 7.158 90.00 109.25 90.00
Positions (direct):
Ca: 0.000 0.000 0.000
Ho: 0.500 0.500 0.000
Er: 0.000 0.500 0.500
Er: 0.500 0.000 0.500
As: 0.253 0.000 0.746
As: 0.258 0.500 0.259
As: 0.742 0.500 0.741
As: 0.747 0.000 0.254

Calculated values
The energy relative to the elements is -1362 meV per atom. The space group is P2/m, No. 10. The value obtained for the total magnetization is 0.0 μB/f.u. The calculation puts the total energy at -5.650 eV per atom.

=====

# 3
# YTm5Sb6

Crystalline YTm5Sb6 at its relaxed geometry (GGA-PBE, Alexandria).

Lattice parameters (Å, degrees): 7.531 7.531 7.529 99.60 99.60 119.99
Positions (direct):
Y: 0.000 0.000 0.000
Tm: 0.166 0.834 0.500
Tm: 0.333 0.667 0.000
Tm: 0.500 0.500 0.500
Tm: 0.667 0.333 0.000
Tm: 0.834 0.166 0.500
Sb: 0.084 0.420 0.252
Sb: 0.252 0.252 0.750
Sb: 0.420 0.084 0.252
Sb: 0.580 0.916 0.748
Sb: 0.748 0.748 0.250
Sb: 0.916 0.580 0.748

Calculated values
The space group is C2/m, No. 12. The value obtained for the total magnetization is 0.0 μB/f.u. The calculation puts the total energy at -5.547 eV per atom. The energy relative to the elements, uncorrected is -1.0837 eV per atom.

=====

# 4
# RbTbAs2O8

Crystalline RbTbAs2O8 at its relaxed geometry (GGA-PBE, Alexandria).

Lattice parameters (Å, degrees): 5.869 5.869 8.118 90.00 90.00 120.00
Positions (direct):
Rb: 0.000 0.000 0.000
Tb: 0.000 0.000 0.500
As: 0.333 0.667 0.738
As: 0.667 0.333 0.262
O: 0.170 0.347 0.672
O: 0.178 0.830 0.672
O: 0.333 0.667 0.951
O: 0.347 0.178 0.328
O: 0.653 0.822 0.672
O: 0.667 0.333 0.049
O: 0.822 0.170 0.328
O: 0.830 0.653 0.328

Calculated values
The space group is P-3, No. 147. The value obtained for the total magnetization is 2.0 μB/f.u. The calculation puts the total energy at -6.147 eV per atom. The energy relative to the elements, uncorrected is -1.5998 eV per atom.

=====

# 5
# Pm6TmPb10

Crystalline Pm6TmPb10 at its relaxed geometry (GGA-PBE, Alexandria).

Lattice parameters (Å, degrees): 9.525 9.525 6.564 90.00 90.00 120.00
Positions (direct):
Pm: 0.000 0.389 0.263
Pm: 0.000 0.611 0.737
Pm: 0.389 0.000 0.263
Pm: 0.389 0.389 0.737
Pm: 0.611 0.000 0.737
Pm: 0.611 0.611 0.263
Tm: 0.000 0.000 0.500
Pb: 0.000 0.257 0.795
Pb: 0.000 0.743 0.205
Pb: 0.257 0.000 0.795
Pb: 0.257 0.257 0.205
Pb: 0.333 0.667 0.000
Pb: 0.333 0.667 0.500
Pb: 0.667 0.333 0.000
Pb: 0.667 0.333 0.500
Pb: 0.743 0.000 0.205
Pb: 0.743 0.743 0.795

Calculated values
The energy relative to the elements is -398 meV per atom. The space group is P-31m, No. 162. The value obtained for the total magnetization is 0.0 μB/f.u. The calculation puts the total energy at -4.520 eV per atom.

=====

# 6
# MgBeCrW2

Crystalline MgBeCrW2 at its relaxed geometry (GGA-PBE, Alexandria).

Lattice parameters (Å, degrees): 4.606 4.606 3.834 90.00 90.00 90.00
Positions (direct):
Mg: 0.000 0.000 0.000
Be: 0.000 0.000 0.500
Cr: 0.500 0.500 0.500
W: 0.000 0.500 0.000
W: 0.500 0.000 0.000

Calculated values
The energy relative to the elements is 2348 meV per atom. The space group is P4/mmm, No. 123. The value obtained for the total magnetization is 0.0 μB/f.u. The calculation puts the total energy at -5.822 eV per atom.

=====

# 7
# As2PdS4

Crystalline As2PdS4 at its relaxed geometry (GGA-PBE, Alexandria).

Lattice parameters (Å, degrees): 9.819 9.819 9.819 151.86 151.86 40.21
Positions (direct):
As: 0.081 0.081 0.000
As: 0.919 0.919 0.000
Pd: 0.500 0.500 0.000
S: 0.000 0.500 0.500
S: 0.192 0.192 0.000
S: 0.500 0.000 0.500
S: 0.808 0.808 0.000

Calculated values
The space group is I4/mmm, No. 139. The calculation puts the relative energy among the computed polymorphs at 0.121 eV per atom. The value obtained for the total magnetization is 0.0 μB/f.u. The calculation puts the total energy at -4.260 eV per atom. The energy relative to the elements, uncorrected is 0.1690 eV per atom.

=====

# 8
# NiBP2Cl

Crystalline NiBP2Cl at its relaxed geometry (GGA-PBE, Alexandria).

Lattice parameters (Å, degrees): 3.968 3.968 4.617 90.00 90.00 90.00
Positions (direct):
Ni: 0.000 0.000 0.000
B: 0.500 0.500 0.500
P: 0.000 0.500 0.500
P: 0.500 0.000 0.500
Cl: 0.500 0.500 0.000

Calculated values
The space group is P4/mmm, No. 123. The calculation puts the relative energy among the computed polymorphs at 0.000 eV per atom. The value obtained for the total magnetization is 0.0 μB/f.u. The calculation puts the total energy at -4.046 eV per atom. The energy relative to the elements, uncorrected is 0.9793 eV per atom.

=====

# 9
# PmPaAs2

Crystalline PmPaAs2 at its relaxed geometry (GGA-PBE, Alexandria).

Lattice parameters (Å, degrees): 3.566 3.566 7.190 90.00 90.00 90.00
Positions (direct):
Pm: 0.000 0.000 0.000
Pa: 0.000 0.000 0.500
As: 0.500 0.500 0.264
As: 0.500 0.500 0.736

Calculated values
The energy relative to the elements is -973 meV per atom. The space group is P4/mmm, No. 123. The calculation puts the relative energy among the computed polymorphs at 0.315 eV per atom. The value obtained for the total magnetization is 0.0 μB/f.u. The calculation puts the total energy at -6.860 eV per atom.

=====

# 10
# Rb2CrInCu

Crystalline Rb2CrInCu at its relaxed geometry (GGA-PBE, Alexandria).

Lattice parameters (Å, degrees): 6.456 6.456 5.049 90.00 90.00 90.00
Positions (direct):
Rb: 0.000 0.500 0.000
Rb: 0.500 0.000 0.000
Cr: 0.000 0.000 0.500
In: 0.500 0.500 0.500
Cu: 0.500 0.500 0.000

Calculated values
The energy relative to the elements is 714 meV per atom. The space group is P4/mmm, No. 123. The calculation puts the relative energy among the computed polymorphs at 0.000 eV per atom. The value obtained for the total magnetization is 4.9 μB/f.u. The calculation puts the total energy at -2.964 eV per atom.

=====

# 11
# HfTlTe2

Crystalline HfTlTe2 at its relaxed geometry (GGA-PBE, Alexandria).

Lattice parameters (Å, degrees): 7.665 7.665 7.665 132.37 132.37 69.65
Positions (direct):
Hf: 0.375 0.625 0.750
Hf: 0.625 0.375 0.250
Tl: 0.125 0.875 0.250
Tl: 0.875 0.125 0.750
Te: 0.144 0.394 0.750
Te: 0.394 0.144 0.250
Te: 0.606 0.856 0.750
Te: 0.856 0.606 0.250

Calculated values
The space group is I4_1/amd, No. 141. The value obtained for the total magnetization is 0.0 μB/f.u. The calculation puts the total energy at -4.941 eV per atom. The energy relative to the elements, uncorrected is -0.2905 eV per atom.

=====

# 12
# SmHo4Se5

Crystalline SmHo4Se5 at its relaxed geometry (GGA-PBE, Alexandria).

Lattice parameters (Å, degrees): 14.767 14.767 14.767 164.15 164.15 22.49
Positions (direct):
Sm: 0.000 0.000 0.000
Ho: 0.204 0.204 0.000
Ho: 0.403 0.403 0.000
Ho: 0.597 0.597 0.000
Ho: 0.796 0.796 0.000
Se: 0.103 0.103 0.000
Se: 0.303 0.303 0.000
Se: 0.500 0.500 0.000
Se: 0.697 0.697 0.000
Se: 0.897 0.897 0.000

Calculated values
The space group is I4/mmm, No. 139. The value obtained for the total magnetization is 0.0 μB/f.u. The calculation puts the total energy at -5.781 eV per atom. The energy relative to the elements, uncorrected is -1.7359 eV per atom.